# 1
A geometry-optimized AcY2Bi structure, computed with PBE-GGA.

a b c (Å): 10.206 10.206 10.206
angles (deg): 23.45 23.45 23.45
Element x y z (fractional)
Ac (0.000, 0.000, 0.000)
Y (0.233, 0.233, 0.233)
Y (0.435, 0.435, 0.435)
Bi (0.835, 0.835, 0.835)

Output
- polymorph energy (0 for the lowest one) (meV/atom) = 113
- ΔH_f (0 K) (eV/atom) = -0.243



# 2
A geometry-optimized CaTl2Sn structure, computed with PBE-GGA.

a b c (Å): 4.027 4.027 7.165
angles (deg): 90.00 90.00 90.00
Element x y z (fractional)
Ca (0.000, 0.000, 0.000)
Tl (0.500, 0.500, 0.266)
Tl (0.500, 0.500, 0.734)
Sn (0.000, 0.000, 0.500)

Output
- polymorph energy (0 for the lowest one) (meV/atom) = 90
- ΔH_f (0 K) (eV/atom) = -0.200



# 3
A geometry-optimized TlGa2CuBi structure, computed with PBE-GGA.

a b c (Å): 4.791 4.791 5.517
angles (deg): 90.00 90.00 90.00
Element x y z (fractional)
Tl (0.000, 0.000, 0.000)
Ga (0.000, 0.500, 0.500)
Ga (0.500, 0.000, 0.500)
Cu (0.500, 0.500, 0.500)
Bi (0.500, 0.500, 0.000)

Output
- ΔH_f (0 K) (eV/atom) = 0.144



# 4
A geometry-optimized PrNd2SmTm4 structure, computed with PBE-GGA.

a b c (Å): 9.522 9.522 9.522
angles (deg): 138.29 102.74 91.89
Element x y z (fractional)
Pr (0.000, 0.000, 0.000)
Pr (0.500, 0.000, 0.500)
Nd (0.000, 0.500, 0.500)
Nd (0.500, 0.000, 0.000)
Nd (0.500, 0.500, 0.000)
Nd (0.500, 0.500, 0.500)
Sm (0.000, 0.000, 0.500)
Sm (0.000, 0.500, 0.000)
Tm (0.249, 0.249, 0.500)
Tm (0.249, 0.250, 0.999)
Tm (0.249, 0.749, 0.000)
Tm (0.249, 0.750, 0.499)
Tm (0.751, 0.250, 0.501)
Tm (0.751, 0.251, 0.000)
Tm (0.751, 0.750, 0.001)
Tm (0.751, 0.751, 0.500)

Output
- ΔH_f (0 K) (eV/atom) = 0.410



# 5
A geometry-optimized Cu2ReAg structure, computed with PBE-GGA.

a b c (Å): 5.510 5.510 5.510
angles (deg): 103.91 103.91 121.28
Element x y z (fractional)
Cu (0.117, 0.625, 0.992)
Cu (0.375, 0.367, 0.492)
Cu (0.633, 0.125, 0.008)
Cu (0.875, 0.883, 0.508)
Re (0.000, 0.000, 0.000)
Re (0.750, 0.250, 0.500)
Ag (0.250, 0.750, 0.500)
Ag (0.500, 0.500, 0.000)

Output
- polymorph energy (0 for the lowest one) (meV/atom) = 776
- ΔH_f (0 K) (eV/atom) = 1.038



# 6
A geometry-optimized SmPuHg6 structure, computed with PBE-GGA.

a b c (Å): 5.106 6.726 6.726
angles (deg): 60.04 90.00 90.00
Element x y z (fractional)
Sm (0.000, 0.000, 0.000)
Pu (0.500, 0.668, 0.668)
Hg (0.000, 0.003, 0.499)
Hg (0.000, 0.499, 0.003)
Hg (0.000, 0.501, 0.501)
Hg (0.500, 0.169, 0.169)
Hg (0.500, 0.171, 0.663)
Hg (0.500, 0.663, 0.171)

Output
- ΔH_f (0 K) (eV/atom) = -0.253



# 7
A geometry-optimized LiCe5Tl8 structure, computed with PBE-GGA.

a b c (Å): 8.129 8.129 8.129
angles (deg): 108.99 108.99 110.45
Element x y z (fractional)
Li (0.000, 0.000, 0.000)
Ce (0.148, 0.282, 0.641)
Ce (0.250, 0.750, 0.500)
Ce (0.492, 0.852, 0.134)
Ce (0.642, 0.508, 0.359)
Ce (0.718, 0.358, 0.866)
Tl (0.026, 0.637, 0.768)
Tl (0.182, 0.419, 0.085)
Tl (0.335, 0.098, 0.915)
Tl (0.363, 0.131, 0.389)
Tl (0.581, 0.665, 0.763)
Tl (0.742, 0.974, 0.611)
Tl (0.869, 0.258, 0.232)
Tl (0.902, 0.818, 0.237)

Output
- ΔH_f (0 K) (eV/atom) = -0.137



# 8
A geometry-optimized Zn2InCo structure, computed with PBE-GGA.

a b c (Å): 2.981 2.981 7.292
angles (deg): 90.00 90.00 90.00
Element x y z (fractional)
Zn (0.000, 0.000, 0.185)
Zn (0.000, 0.000, 0.815)
In (0.500, 0.500, 0.500)
Co (0.500, 0.500, 0.000)

Output
- ΔH_f (0 K) (eV/atom) = 0.102



Computed total magnetization (μB/cell) in order:
0.16 0.00 0.00 0.06 0.00 5.96 5.66 0.00